Material: La2NdScTe4
Method: DFT, PBE
State: optimized geometry

Properties
symmetry	P2/m, No. 10
total energy	-44.8	eV per cell

Cell: 7.7364 4.4198 7.7804 Å, 90.00 108.98 90.00°
Element x y z (fractional)
La  0.0000  0.0000  0.0000
La  0.0000  0.5000  0.5000
Nd  0.5000  0.0000  0.5000
Sc  0.5000  0.5000  0.0000
Te  0.2638  0.5000  0.2425
Te  0.2725  0.0000  0.7694
Te  0.7275  0.0000  0.2306
Te  0.7362  0.5000  0.7575